Crystalline MgInBr4 at its relaxed geometry, computed with PBE.

a = 6.5261 Å, b = 6.5261 Å, c = 6.5261 Å
α = 60.00°, β = 60.00°, γ = 60.00°
Last column: nearest neighbours and their distance in Å.
Element x y z (fractional)
Mg 0.0000 0.0000 0.0000  12 Br 3.83, 4 In 4.00
In 0.2500 0.2500 0.2500  12 Br 3.83, 4 Mg 4.00
Br 0.1248 0.6251 0.6251  6 Br 3.26
Br 0.6251 0.1248 0.6251  6 Br 3.26
Br 0.6251 0.6251 0.1248  6 Br 3.26
Br 0.6251 0.6251 0.6251  6 Br 3.26

Results
The space group is F-43m. The calculation puts the theoretical density at 3.88 g/cm3. For the raw formation energy, the calculation gives 14 kJ per mole of atoms. For the excess energy over the best structure of this formula in the dataset, the calculation gives 1177 meV/atom.